! YSiOs3 (GGA-PBE, relaxed); values from VASP
&SYSTEM
  ibrav = 0, nat = 5, ntyp = 3
/
ATOMIC_SPECIES
Y 88.91 Y.upf
Si 28.09 Si.upf
Os 190.23 Os.upf
CELL_PARAMETERS angstrom
4.470 0.000 0.000
0.000 4.470 0.000
0.000 0.000 4.470
ATOMIC_POSITIONS crystal
Y 0.500 0.500 0.500
Si 0.000 0.000 0.000
Os 0.000 0.500 0.000
Os 0.000 0.000 0.500
Os 0.500 0.000 0.000
! Relative energy among the computed polymorphs: 0 meV per atom
! N(E_F): 5.0 states/eV per cell
! Total DFT energy (no corrections): -8.764 eV per atom
! Formation energy (no corrections): 0.351 eV per atom
! Crystal system: cubic

=====

! Y3Si8Os3 (GGA-PBE, relaxed); values from VASP
&SYSTEM
  ibrav = 0, nat = 14, ntyp = 3
/
ATOMIC_SPECIES
Y 88.91 Y.upf
Si 28.09 Si.upf
Os 190.23 Os.upf
CELL_PARAMETERS angstrom
-0.616 3.961 1.189
-7.692 0.668 1.140
-2.794 -0.602 7.914
ATOMIC_POSITIONS crystal
Y 0.295 0.755 0.656
Y 0.705 0.245 0.344
Y 0.000 0.000 0.000
Si 0.116 0.149 0.619
Si 0.884 0.851 0.381
Si 0.859 0.441 0.841
Si 0.141 0.559 0.159
Si 0.516 0.668 0.299
Si 0.484 0.332 0.701
Si 0.363 0.023 0.251
Si 0.637 0.977 0.749
Os 0.000 0.500 0.500
Os 0.674 0.658 0.995
Os 0.326 0.342 0.005
! Relative energy among the computed polymorphs: 0 meV per atom
! N(E_F): 4.4 states/eV per cell
! Total DFT energy (no corrections): -7.469 eV per atom
! Formation energy (no corrections): -0.579 eV per atom
! Crystal system: monoclinic

=====

! Y3Si12Os4 (GGA-PBE, relaxed); values from VASP
&SYSTEM
  ibrav = 0, nat = 38, ntyp = 3
/
ATOMIC_SPECIES
Os 190.23 Os.upf
Si 28.09 Si.upf
Y 88.91 Y.upf
CELL_PARAMETERS angstrom
-7.930 -0.025 6.322
9.819 -2.174 1.309
1.477 7.809 1.884
ATOMIC_POSITIONS crystal
Os 0.127 0.127 0.627
Os 0.373 0.373 0.127
Os 0.627 0.627 0.873
Os 0.873 0.873 0.373
Os 0.831 0.169 0.000
Os 0.669 0.331 0.500
Os 0.169 0.831 0.000
Os 0.331 0.669 0.500
Si 0.886 0.121 0.728
Si 0.614 0.379 0.228
Si 0.621 0.386 0.772
Si 0.879 0.114 0.272
Si 0.114 0.879 0.272
Si 0.386 0.621 0.772
Si 0.379 0.614 0.228
Si 0.121 0.886 0.728
Si 0.845 0.610 0.995
Si 0.655 0.890 0.495
Si 0.110 0.345 0.505
Si 0.390 0.155 0.005
Si 0.155 0.390 0.005
Si 0.345 0.110 0.505
Si 0.890 0.655 0.495
Si 0.610 0.845 0.995
Si 0.333 0.333 0.833
Si 0.167 0.167 0.333
Si 0.833 0.833 0.667
Si 0.667 0.667 0.167
Si 0.705 0.295 0.000
Si 0.795 0.205 0.500
Si 0.295 0.705 0.000
Si 0.205 0.795 0.500
Y 0.002 0.502 0.750
Y 0.498 0.998 0.250
Y 0.998 0.498 0.250
Y 0.502 0.002 0.750
Y 0.000 0.000 0.000
Y 0.500 0.500 0.500
! N(E_F): 9.7 states/eV per cell
! Total DFT energy (no corrections): -7.375 eV per atom
! Formation energy (no corrections): -0.565 eV per atom
! Crystal system: orthorhombic

=====

> The highest total DFT energy (no corrections) belongs to which entry?

Y3Si12Os4